Entry from the Alexandria database: a geometry-optimized ScMnTeO5 structure (PBE with a Hubbard U).

Unit cell a=7.0490 b=10.2134 c=7.0720 alpha=90.00 beta=111.39 gamma=90.00
Last column: nearest neighbours and their distance in Å.
Space group C2/c (No. 15)
Symmetry-distinct sites (fractional):
Sc1 0.2500 0.2500 0.0000 (multiplicity 4)  6 O 2.04-2.24
Mn1 0.0000 0.0073 0.7500 (multiplicity 4)  3 O 2.02-2.07
Te1 0.0000 0.4978 0.2500 (multiplicity 4)  4 O 1.91-2.08
O1 0.0000 0.2053 0.7500 (multiplicity 4)  1 Mn 2.02, 2 Sc 2.04
O2 0.0285 0.3687 0.0674 (multiplicity 8)  1 Te 1.91
O3 0.1966 0.0521 0.1086 (multiplicity 8)  1 Mn 2.07, 1 Te 2.08, 1 Sc 2.24

Its density of states at the Fermi level is 1.680 states/eV/f.u. As for the crystal system: monoclinic. The final energy is -7.005 eV/atom.